Entry 1:
Density functional theory data (GGA-PBE) for a relaxed structure of SrCa3Pb2.

## Properties
M_tot, μB per formula unit: 0.0
Electronic total energy, eV/cell: -37.03
Energy of formation, eV per atom: -0.57

Cell: 5.190 9.701 8.268 Å, 90.00 90.00 90.00°
Space group Pmc2_1 (No. 26)
One atom of each set of equivalent atoms:
Sr1 0.000 0.065 0.000
Ca1 0.000 0.324 0.632
Ca2 0.500 0.184 0.326
Ca3 0.500 0.432 0.956
Pb1 0.000 0.362 0.236
Pb2 0.500 0.143 0.723

=====

Entry 2:
Density functional theory data (GGA-PBE) for a relaxed structure of KSb2P.

## Properties
M_tot, μB per formula unit: 0.0
Electronic total energy, eV/cell: -54.04
Formation energy without anion corrections, eV per atom: 0.311

Cell: 7.541 7.541 7.541 Å, 90.00 90.00 90.00°
Space group F-43m (No. 216)
One atom of each set of equivalent atoms:
K1 0.000 0.000 0.000
Sb1 0.000 0.000 0.500
Sb2 0.250 0.250 0.750
P1 0.250 0.250 0.250

=====

Entry 3:
Density functional theory data (GGA-PBE) for a relaxed structure of Pm8SmY6.

## Properties
M_tot, μB per formula unit: 0.0
Electronic total energy, eV/cell: -239.32
Energy of formation, eV per atom: 0.12
Distance to the lowest polymorph of the same formula, meV per atom: 0

Cell: 9.1653 9.1653 20.9396 Å, 90.00 90.00 120.00°
Space group R-3 (No. 148, hexagonal axes)
One atom of each set of equivalent atoms:
Pm1 0.0000 0.0000 0.0770
Pm2 0.0806 0.5570 0.3067
Sm1 0.0000 0.0000 0.5000
Y1 0.0470 0.2435 0.2060

=====

Entry 4:
Density functional theory data (GGA-PBE) for a relaxed structure of GdErBeAl.

## Properties
M_tot, μB per formula unit: 7.3
Electronic total energy, eV/cell: -106.41
Energy of formation, eV per atom: -0.12

Cell: 7.046 7.046 7.046 Å, 90.00 90.00 90.00°
Space group F-43m (No. 216)
One atom of each set of equivalent atoms:
Gd1 0.000 0.000 0.000
Er1 0.000 0.000 0.500
Be1 0.250 0.250 0.250
Al1 0.250 0.250 0.750

=====

Entry 5:
Density functional theory data (GGA-PBE) for a relaxed structure of YAl2Co.

## Properties
M_tot, μB per formula unit: 0.9
Electronic total energy, eV/cell: -22.56
Energy of formation, eV per atom: -0.38

Cell: 3.057 3.057 7.280 Å, 90.00 90.00 90.00°
Space group P4/mmm (No. 123)
One atom of each set of equivalent atoms:
Y1 0.000 0.000 0.000
Al1 0.500 0.500 0.317
Co1 0.000 0.000 0.500

=====

Entry 6:
Density functional theory data (GGA-PBE) for a relaxed structure of CdTcAs.

## Properties
M_tot, μB per formula unit: 0.0
Electronic total energy, eV/cell: -16.01
Energy of formation, eV per atom: -0.03
Distance to the lowest polymorph of the same formula, meV per atom: 8

Cell: 3.121 3.121 5.892 Å, 90.00 90.00 90.00°
Space group P4mm (No. 99)
One atom of each set of equivalent atoms:
Cd1 0.000 0.000 0.000
Tc1 0.500 0.500 0.331
As1 0.000 0.000 0.536

=====

Entry 7:
Density functional theory data (GGA-PBE) for a relaxed structure of LaPm2Pr4Ho.

## Properties
M_tot, μB per formula unit: 0.0
Electronic total energy, eV/cell: -38.00
Energy of formation, eV per atom: 0.02

Cell: 6.350 3.695 12.215 Å, 90.00 100.24 90.00°
Space group P2/m (No. 10)
One atom of each set of equivalent atoms:
La1 0.000 0.000 0.000
Pm1 0.000 0.500 0.500
Pm2 0.500 0.000 0.500
Pr1 0.250 0.000 0.751
Pr2 0.252 0.500 0.251
Ho1 0.500 0.500 0.000

=====

Entry 8:
Density functional theory data (GGA-PBE) for a relaxed structure of SrGaPd.

## Properties
M_tot, μB per formula unit: 0.0
Electronic total energy, eV/cell: -47.51
Energy of formation, eV per atom: -0.66

Cell: 6.771 6.771 6.771 Å, 90.00 90.00 90.00°
Space group P2_13 (No. 198)
One atom of each set of equivalent atoms:
Sr1 0.152 0.152 0.152
Ga1 0.159 0.341 0.659
Pd1 0.075 0.575 0.925